A plane-wave DFT calculation with PBE was carried out for a geometry-optimized Pa3Ge3Ru2 structure.

Unit cell a=5.5701 b=7.8226 c=14.7755 alpha=90.00 beta=90.00 gamma=90.00
Atoms (fractional coordinates):
1 Pa 0.1186 0.4674 0.3919
2 Pa 0.6186 0.0326 0.6081
3 Pa 0.8814 0.5326 0.8919
4 Pa 0.3814 0.9674 0.1081
5 Pa 0.8814 0.5326 0.6081
6 Pa 0.3814 0.9674 0.3919
7 Pa 0.1186 0.4674 0.1081
8 Pa 0.6186 0.0326 0.8919
9 Pa 0.6360 0.3277 0.2500
10 Pa 0.1360 0.1723 0.7500
11 Pa 0.3640 0.6723 0.7500
12 Pa 0.8640 0.8277 0.2500
13 Ge 0.1400 0.1858 0.2500
14 Ge 0.6400 0.3142 0.7500
15 Ge 0.8600 0.8142 0.7500
16 Ge 0.3600 0.6858 0.2500
17 Ge 0.6094 0.3068 0.4665
18 Ge 0.1094 0.1932 0.5335
19 Ge 0.3906 0.6932 0.9665
20 Ge 0.8906 0.8068 0.0335
21 Ge 0.3906 0.6932 0.5335
22 Ge 0.8906 0.8068 0.4665
23 Ge 0.6094 0.3068 0.0335
24 Ge 0.1094 0.1932 0.9665
25 Ru 0.8728 0.0892 0.3837
26 Ru 0.3728 0.4108 0.6163
27 Ru 0.1272 0.9108 0.8837
28 Ru 0.6272 0.5892 0.1163
29 Ru 0.1272 0.9108 0.6163
30 Ru 0.6272 0.5892 0.3837
31 Ru 0.8728 0.0892 0.1163
32 Ru 0.3728 0.4108 0.8837

Results
As for the mass density: 11485 kg/m³. The total energy is -0.6001 Ry/atom. The value obtained for the formation energy is -553 meV per atom.